Computed, not measured: crystalline Sr2AsPdN at its relaxed geometry at the GGA-PBE level of DFT.

Cell and atoms, written as extended XYZ:
```
5
Lattice="-1.7110 4.9276 -1.5645 -2.1213 0.8337 4.9458 3.3524 1.5382 1.1786" Properties=species:S:1:pos:R:3 pbc="T T T"
Sr -1.0606 0.4168 2.4729
Sr -0.8555 2.4638 -0.7822
As -0.2399 3.6498 2.2800
Pd 1.6762 0.7691 0.5893
N 0.0000 0.0000 0.0000
```

Results
Calculated volume (Å³ per atom): 22.97
SG: P4/mmm, No. 123
Spin magnetization (μB per cell): 0.00
Uncorrected energy (eV/cell): -24.73

Computed, not measured: crystalline TaAsPd2N at its relaxed geometry at the GGA-PBE level of DFT.

Cell and atoms, written as extended XYZ:
```
5
Lattice="4.2117 0.0000 0.0000 0.0000 4.1985 0.0000 0.0000 0.0000 4.2117" Properties=species:S:1:pos:R:3 pbc="T T T"
As 2.1059 2.0993 2.1059
N 0.0000 0.0000 0.0000
Pd 0.0000 0.0000 2.1059
Pd 2.1059 0.0000 0.0000
Ta 0.0000 2.0993 0.0000
```

Results
Calculated volume (Å³ per atom): 14.90
SG: P4/mmm, No. 123
Spin magnetization (μB per cell): 0.00
Uncorrected energy (eV/cell): -35.46

Computed, not measured: crystalline Te2AsPdN at its relaxed geometry at the GGA-PBE level of DFT.

Cell and atoms, written as extended XYZ:
```
5
Lattice="5.4855 0.0000 0.0000 0.0000 5.4855 0.0000 0.0000 0.0000 3.7222" Properties=species:S:1:pos:R:3 pbc="T T T"
As 2.7428 2.7428 1.8611
Te 0.0000 2.7428 0.0000
Te 2.7428 0.0000 0.0000
Pd 0.0000 0.0000 0.0000
N 0.0000 0.0000 1.8611
```

Results
Calculated volume (Å³ per atom): 22.40
SG: P4/mmm, No. 123
Energy relative to the lowest polymorph listed for this composition (meV per atom): 0
Spin magnetization (μB per cell): 0.00
Uncorrected energy (eV/cell): -20.67

Computed, not measured: crystalline Te2AsPdN at its relaxed geometry at the GGA-PBE level of DFT.

Cell and atoms, written as extended XYZ:
```
5
Lattice="-4.1281 3.5005 -1.1382 -2.9037 -4.1479 -2.2256 -1.4469 -0.6803 3.1556" Properties=species:S:1:pos:R:3 pbc="T T T"
As 0.0000 0.0000 0.0000
Te -1.4519 -2.0740 -1.1128
Te -2.0640 1.7503 -0.5691
Pd -4.2394 -0.6639 -0.1041
N -0.7235 -0.3401 1.5778
```

Results
Calculated volume (Å³ per atom): 21.64
SG: P4/mmm, No. 123
Energy relative to the lowest polymorph listed for this composition (meV per atom): 52
Spin magnetization (μB per cell): 0.00
Uncorrected energy (eV/cell): -20.42

Computed, not measured: crystalline ThAsPdN at its relaxed geometry at the GGA-PBE level of DFT.

Cell and atoms, written as extended XYZ:
```
4
Lattice="3.4732 0.0000 0.0000 0.0000 3.4732 0.0000 -1.7366 -1.7366 6.1082" Properties=species:S:1:pos:R:3 pbc="T T T"
Th 1.7366 1.7366 1.6228
As 1.7366 1.7366 4.9402
Pd 0.0000 0.0000 4.0086
N 0.0000 0.0000 1.7925
```

Results
Calculated volume (Å³ per atom): 18.42
SG: I4mm, No. 107
Spin magnetization (μB per cell): 0.00
Uncorrected energy (eV/cell): -28.81

Computed, not measured: crystalline TiAsPdN2 at its relaxed geometry at the GGA-PBE level of DFT.

Cell and atoms, written as extended XYZ:
```
5
Lattice="3.9074 0.0000 0.0000 0.0000 5.0426 0.0000 0.0000 0.0000 3.9074" Properties=species:S:1:pos:R:3 pbc="T T T"
As 0.0000 2.5213 0.0000
N 0.0000 0.0000 1.9537
N 1.9537 0.0000 0.0000
Pd 0.0000 0.0000 0.0000
Ti 1.9537 2.5213 1.9537
```

Results
Calculated volume (Å³ per atom): 15.40
SG: P4/mmm, No. 123
Spin magnetization (μB per cell): 1.01
Uncorrected energy (eV/cell): -28.44

Which of these has the lowest calculated volume?
TaAsPd2N